[1]
First-principles (GGA-PBE) data for an optimized crystal structure of LaYPd2, as listed in Alexandria via LeMat-Bulk.

Output
DOS(E_F)	3.3	states/eV per cell
energy	-25.00	eV per cell
ΔH_f (0 K)	-0.805	eV/atom

Lattice parameters (Å, degrees): 3.5340 3.5340 7.4334 90.00 90.00 90.00
Last column: nearest neighbours and their distance in Å.
Space group P4/mmm (No. 123)
Unique sites:
La 0.0000 0.0000 0.0000 [1 per cell]  8 Pd 3.22, 4 La 3.53
Y 0.0000 0.0000 0.5000 [1 per cell]  8 Pd 3.02
Pd 0.5000 0.5000 0.2724 [2 per cell]  4 Y 3.02, 4 La 3.22


[2]
First-principles (GGA-PBE) data for an optimized crystal structure of NdAg3Au, as listed in Alexandria via LeMat-Bulk.

Output
DOS(E_F)	11.0	states/eV per cell
energy	-65.47	eV per cell
ΔH_f (0 K)	0.046	eV/atom

Lattice parameters (Å, degrees): 5.3257 5.3257 19.0523 90.00 90.00 90.00
Last column: nearest neighbours and their distance in Å.
Space group I-4m2 (No. 119)
Unique sites:
Nd 0.0000 0.0000 0.1782 [4 per cell]  2 Au 2.99, 4 Ag 3.16
Ag 0.0000 0.2458 0.6238 [8 per cell]  2 Ag 2.62-2.71, 2 Au 2.70-2.76
Ag 0.0000 0.5000 0.0700 [4 per cell]  2 Au 2.98, 4 Ag 3.14
Au 0.0000 0.0000 0.5000 [2 per cell]  8 Ag 2.70-2.98
Au 0.0000 0.5000 0.7500 [2 per cell]  4 Ag 2.76, 4 Nd 2.99


Q: The lowest energy belongs to which entry?
A: NdAg3Au


Please write out number 1 again, unchanged.
First-principles (GGA-PBE) data for an optimized crystal structure of LaYPd2, as listed in Alexandria via LeMat-Bulk.

Output
DOS(E_F)	3.3	states/eV per cell
energy	-25.00	eV per cell
ΔH_f (0 K)	-0.805	eV/atom

Lattice parameters (Å, degrees): 3.5340 3.5340 7.4334 90.00 90.00 90.00
Last column: nearest neighbours and their distance in Å.
Space group P4/mmm (No. 123)
Unique sites:
La 0.0000 0.0000 0.0000 [1 per cell]  8 Pd 3.22, 4 La 3.53
Y 0.0000 0.0000 0.5000 [1 per cell]  8 Pd 3.02
Pd 0.5000 0.5000 0.2724 [2 per cell]  4 Y 3.02, 4 La 3.22